Material: TiNbO4
Method: DFT, PBE
State: optimized geometry

a = 3.9421 Å, b = 3.9421 Å, c = 9.8652 Å
α = 90.00°, β = 90.00°, γ = 90.00°
With the nearest neighbours (Å) after each atom.
Space group I-4m2 (No. 119)
Asymmetric unit:
Ti 0.0000 0.0000 0.0000  6 O 2.01-2.03
Nb 0.0000 0.5000 0.7500  6 O 2.02-2.05
O 0.0000 0.0000 0.2060  2 Nb 2.02, 1 Ti 2.03
O 0.0000 0.5000 0.5418  2 Ti 2.01, 1 Nb 2.05


Material: Ti3NbO8
Method: DFT, PBE
State: optimized geometry

a = 5.9763 Å, b = 5.9763 Å, c = 9.4115 Å
α = 90.00°, β = 90.00°, γ = 120.00°
With the nearest neighbours (Å) after each atom.
Space group P6_3mc (No. 186)
Asymmetric unit:
Ti 0.1691 0.3381 0.0000  6 O 1.96-2.06
Nb 0.3333 0.6667 0.2770  6 O 1.98-2.10
O 0.0000 0.0000 0.0937  3 Ti 1.96
O 0.0432 0.5216 0.1210  2 Ti 1.97, 1 Nb 2.10
O 0.1699 0.3397 0.3859  1 Nb 1.98, 2 Ti 2.06
O 0.3333 0.6667 0.8918  3 Ti 1.98

Properties
Energy above the lowest structure with this stoichiometry, eV/atom: 0.066


Material: Ti3NbO
Method: DFT, PBE
State: optimized geometry

a = 9.8243 Å, b = 4.3928 Å, c = 7.2719 Å
α = 90.00°, β = 111.49°, γ = 90.00°
With the nearest neighbours (Å) after each atom.
Space group C2/m (No. 12)
Asymmetric unit:
Ti 0.1001 0.0000 0.2040  2 O 2.06-2.14
Ti 0.1349 0.5000 0.9411  3 O 2.13-2.20
Ti 0.1356 0.0000 0.6555  1 O 2.08
Nb 0.1161 0.5000 0.4335  6 Ti 2.69-2.93, 1 Nb 2.78
O 0.1324 0.0000 0.9395  6 Ti 2.06-2.20

Properties
Energy above the lowest structure with this stoichiometry, eV/atom: 0.002


Material: Ti2Nb2O
Method: DFT, PBE
State: optimized geometry

a = 5.6826 Å, b = 5.6826 Å, c = 5.1682 Å
α = 90.00°, β = 90.00°, γ = 90.00°
With the nearest neighbours (Å) after each atom.
Space group P4/mbm (No. 127)
Asymmetric unit:
Ti 0.1519 0.3481 0.0000  1 Ti 2.44
Nb 0.1662 0.6662 0.5000  2 O 2.12
O 0.0000 0.0000 0.5000  4 Nb 2.12

Properties
Energy above the lowest structure with this stoichiometry, eV/atom: 0.000


Material: Ti2NbO
Method: DFT, PBE
State: optimized geometry

a = 5.8658 Å, b = 5.8658 Å, c = 7.7423 Å
α = 90.00°, β = 90.00°, γ = 90.00°
With the nearest neighbours (Å) after each atom.
Space group I-42d (No. 122)
Asymmetric unit:
Ti 0.1272 0.2500 0.1250  2 O 1.91
Nb 0.0000 0.0000 0.5000  4 Ti 2.81
O 0.0000 0.0000 0.0000  4 Ti 1.91


Material: TiNb2O7
Method: DFT, PBE
State: optimized geometry

a = 20.8301 Å, b = 3.8149 Å, c = 12.1986 Å
α = 90.00°, β = 120.20°, γ = 90.00°
With the nearest neighbours (Å) after each atom.
Space group Cm (No. 8)
Asymmetric unit:
Ti 0.0000 0.0000 0.0000  6 O 1.91-2.08
Ti 0.0791 0.0000 0.6458  4 O 1.78-1.98
Ti 0.2908 0.0000 0.3638  2 O 1.76-1.85
Nb 0.1106 0.0000 0.3648  4 O 1.79-2.01
Nb 0.1815 0.0000 0.0051  4 O 1.81-2.01
Nb 0.2072 0.5000 0.6425  4 O 1.82-2.01
Nb 0.3219 0.5000 0.0097  4 O 1.80-1.99
Nb 0.3921 0.5000 0.6346  3 O 1.80-1.99
Nb 0.4252 0.5000 0.3757  4 O 1.87-1.98
O 0.0258 0.0000 0.4216  1 Nb 1.88
O 0.0491 0.0000 0.1963  1 Nb 1.79
O 0.0983 0.0000 0.0166  1 Nb 1.81, 1 Ti 1.95
O 0.0980 0.5000 0.6303  2 Ti 1.98, 1 Nb 2.20
O 0.1257 0.0000 0.8147  1 Ti 1.78
O 0.1262 0.5000 0.4234  2 Nb 2.01
O 0.1732 0.0000 0.6032  2 Nb 2.01
O 0.2072 0.0000 0.3805  1 Ti 1.85, 1 Nb 1.92
O 0.2103 0.5000 0.0076  2 Nb 2.00
O 0.2490 0.0000 0.1975  1 Ti 1.76
O 0.2540 0.5000 0.8152  1 Nb 1.82
O 0.2900 0.5000 0.6208  2 Nb 1.87-2.05
O 0.2937 0.0000 0.0040  2 Nb 1.99
O 0.3259 0.5000 0.4042  2 Ti 2.01
O 0.3707 0.0000 0.5820  2 Nb 1.99
O 0.3780 0.5000 0.1984  2 Nb 1.87-1.99
O 0.4028 0.0000 0.3846  2 Nb 1.98, 1 Ti 2.22
O 0.4028 0.5000 0.9926  1 Nb 1.80, 1 Ti 1.98
O 0.4491 0.5000 0.8047  1 Nb 1.80
O 0.4761 0.5000 0.5885  1 Ti 1.89, 1 Nb 2.09
O 0.4991 0.0000 0.9994  2 Ti 1.91

Properties
Energy above the lowest structure with this stoichiometry, eV/atom: 0.016


Material: Ti3NbO8
Method: DFT, PBE
State: optimized geometry

a = 18.8840 Å, b = 5.9977 Å, c = 4.7216 Å
α = 90.00°, β = 90.43°, γ = 90.00°
With the nearest neighbours (Å) after each atom.
Space group C2/m (No. 12)
Asymmetric unit:
Ti 0.0000 0.2416 0.0000  6 O 1.94-2.02
Ti 0.1267 0.0000 0.5057  6 O 1.98-2.07
Ti 0.2500 0.2500 0.0000  6 O 1.98-2.02
Nb 0.1239 0.5000 0.4963  6 O 2.01-2.07
O 0.0484 0.5000 0.1934  1 Nb 2.01, 2 Ti 2.01
O 0.0487 0.0000 0.1953  3 Ti 1.94-2.07
O 0.0755 0.2468 0.6991  2 Ti 1.99-2.02, 1 Nb 2.02
O 0.1748 0.2460 0.3022  2 Ti 1.98-2.02, 1 Nb 2.03
O 0.2011 0.5000 0.8088  2 Ti 1.98, 1 Nb 2.07
O 0.2015 0.0000 0.8032  3 Ti 1.98

Properties
Energy above the lowest structure with this stoichiometry, eV/atom: 0.000


Material: Ti2NbO
Method: DFT, PBE
State: optimized geometry

a = 2.9442 Å, b = 2.9442 Å, c = 23.0971 Å
α = 90.00°, β = 90.00°, γ = 120.00°
With the nearest neighbours (Å) after each atom.
Space group R-3m (No. 166, hexagonal axes)
Asymmetric unit:
Ti 0.0000 0.0000 0.1121  3 O 2.12
Nb 0.0000 0.0000 0.0000  2 Ti 2.59
O 0.0000 0.0000 0.5000  6 Ti 2.12


Going through the records in order, we get ρ values of 4.44, 4.16, 5.74, 5.92, 5.10, 4.11, 4.53, 5.88 Mg/m³.
Going through the records in order, we get energy relative to the elements, uncorrected values of -2.6975, -2.7955, -1.0645, -0.3680, -0.8197, -2.6723, -2.8612, -0.9919 eV/atom.